# 1
The following is a PBE-GGA calculation of a relaxed SrSb2Br crystal, from Alexandria.

Calculated values
As for the formation energy from raw total energies: -307 meV/atom. Its energy relative to the lowest polymorph listed for this composition is 2.347 eV per formula unit. For the uncorrected energy, the calculation gives -12.83 eV per cell. As for the space-group type: P4/mmm, No. 123.

Cell and atoms, written as POSCAR:
```
SrSb2Br
1.0
5.8200 0.0000 0.0000
0.0000 5.8200 0.0000
0.0000 0.0000 3.6042
Sr Sb Br
1 2 1
Direct
0.0000 0.0000 0.0000 Sr
0.0000 0.5000 0.5000 Sb
0.5000 0.0000 0.5000 Sb
0.5000 0.5000 0.0000 Br
```

# 2
The following is a PBE-GGA calculation of a relaxed SrSbBr2 crystal, from Alexandria.

Calculated values
As for the formation energy from raw total energies: -864 meV/atom. Its energy relative to the lowest polymorph listed for this composition is 0.846 eV per formula unit. For the uncorrected energy, the calculation gives -12.60 eV per cell. As for the space-group type: Pmm2, No. 25.

Cell and atoms, written as POSCAR:
```
SrSbBr2
1.0
4.0788 0.0000 0.0000
0.0000 5.4347 0.0000
0.0000 0.0000 6.1127
Sr Sb Br
1 1 2
Direct
0.0000 0.0000 0.0000 Sr
0.5000 0.5000 0.8378 Sb
0.0000 0.0000 0.5058 Br
0.5000 0.5000 0.2686 Br
```

# 3
The following is a PBE-GGA calculation of a relaxed SrSbBr2 crystal, from Alexandria.

Calculated values
As for the formation energy from raw total energies: -753 meV/atom. Its energy relative to the lowest polymorph listed for this composition is 1.287 eV per formula unit. For the uncorrected energy, the calculation gives -12.16 eV per cell. As for the space-group type: Fm-3m, No. 225.

Cell and atoms, written as POSCAR:
```
SrSbBr2
1.0
0.0000 3.9859 3.9859
3.9859 0.0000 3.9859
3.9859 3.9859 0.0000
Sr Sb Br
1 1 2
Direct
0.0000 0.0000 0.0000 Sr
0.5000 0.5000 0.5000 Sb
0.2500 0.2500 0.2500 Br
0.7500 0.7500 0.7500 Br
```